A:
Below is a geometry-optimized SbW2Br structure, with properties calculated at the PBE-GGA level.

Cell lengths 10.256, 10.256, 10.256 Å; angles 18.19, 18.19, 18.19 degrees
Fractional coordinates of all 4 atoms:
Sb  0.000  0.000  0.000
W  0.469  0.469  0.469
W  0.743  0.743  0.743
Br  0.204  0.204  0.204

magnetic moment: 0.00 Bohr magnetons per cell
SG: R3m (160)

B:
Below is a geometry-optimized SbW2Br structure, with properties calculated at the PBE-GGA level.

Cell lengths 3.112, 3.112, 9.167 Å; angles 90.00, 90.00, 120.06 degrees
Fractional coordinates of all 4 atoms:
Sb  0.000  0.000  0.000
W  0.500  0.500  0.247
W  0.500  0.500  0.753
Br  0.000  0.000  0.500

magnetic moment: 0.00 Bohr magnetons per cell
SG: Cmmm (65)

A wins, 859 meV/atom ahead of the next structure.

A:
Below is a geometry-optimized B5C7 structure, with properties calculated at the PBE-GGA level.

Cell lengths 2.622, 2.622, 14.405 Å; angles 90.00, 90.00, 120.00 degrees
Fractional coordinates of all 12 atoms:
B  0.000  0.000  0.000
B  0.000  0.000  0.231
B  0.000  0.000  0.655
B  0.333  0.667  0.357
B  0.333  0.667  0.725
C  0.000  0.000  0.546
C  0.333  0.667  0.241
C  0.333  0.667  0.835
C  0.667  0.333  0.403
C  0.667  0.333  0.508
C  0.667  0.333  0.870
C  0.667  0.333  0.984

magnetic moment: 0.00 Bohr magnetons per cell
SG: P3m1 (156)

B:
Below is a geometry-optimized B5C7 structure, with properties calculated at the PBE-GGA level.

Cell lengths 4.772, 2.573, 6.595 Å; angles 90.00, 92.12, 90.00 degrees
Fractional coordinates of all 12 atoms:
B  0.000  0.000  0.000
B  0.062  0.500  0.650
B  0.535  0.500  0.810
B  0.613  0.000  0.449
B  0.776  0.500  0.120
C  0.135  0.500  0.418
C  0.288  0.000  0.348
C  0.306  0.000  0.112
C  0.444  0.500  0.034
C  0.639  0.000  0.696
C  0.806  0.500  0.358
C  0.962  0.000  0.760

magnetic moment: 0.00 Bohr magnetons per cell
SG: Pm (6)

A wins, 53 meV/atom ahead of the next structure.